Arrangement w

The following is a DFT calculation (PBE) of Cd2GaPd3 after structural relaxation.

Lattice parameters (Å, degrees): 4.487 6.662 7.023 90.00 107.25 90.00
Space group P2/m (No. 10)
Inequivalent atoms, fractional coordinates:
Cd  0.000  0.000  0.000 [1 per cell]
Cd  0.000  0.500  0.000 [1 per cell]
Cd  0.332  0.000  0.669 [2 per cell]
Ga  0.338  0.500  0.679 [2 per cell]
Pd  0.178  0.278  0.351 [4 per cell]
Pd  0.500  0.264  0.000 [2 per cell]



Arrangement x

The following is a DFT calculation (PBE) of Cd2GaPd3 after structural relaxation.

Lattice parameters (Å, degrees): 3.002 24.773 5.717 90.00 90.00 90.00
Space group Cmcm (No. 63)
Inequivalent atoms, fractional coordinates:
Cd  0.000  0.001  0.250 [4 per cell]
Cd  0.000  0.160  0.750 [4 per cell]
Ga  0.000  0.336  0.750 [4 per cell]
Pd  0.000  0.245  0.250 [4 per cell]
Pd  0.000  0.420  0.001 [8 per cell]



Which of them is least stable? Easy: arrangement x.



Arrangement w

The following is a DFT calculation (PBE) of Cd3GaPd6 after structural relaxation.

Lattice parameters (Å, degrees): 7.748 4.623 9.779 90.00 108.78 90.00
Space group P2_1/m (No. 11)
Inequivalent atoms, fractional coordinates:
Cd  0.032  0.250  0.387 [2 per cell]
Cd  0.131  0.750  0.213 [2 per cell]
Cd  0.274  0.250  0.992 [2 per cell]
Ga  0.454  0.250  0.596 [2 per cell]
Pd  0.046  0.750  0.917 [2 per cell]
Pd  0.179  0.250  0.685 [2 per cell]
Pd  0.272  0.750  0.511 [2 per cell]
Pd  0.351  0.750  0.818 [2 per cell]
Pd  0.359  0.250  0.313 [2 per cell]
Pd  0.439  0.750  0.131 [2 per cell]



Arrangement x

The following is a DFT calculation (PBE) of Cd3GaPd6 after structural relaxation.

Lattice parameters (Å, degrees): 11.101 13.560 4.662 90.00 90.00 90.00
Space group Cmc2_1 (No. 36)
Inequivalent atoms, fractional coordinates:
Cd  0.000  0.121  0.000 [4 per cell]
Cd  0.224  0.403  0.477 [8 per cell]
Ga  0.000  0.371  0.154 [4 per cell]
Pd  0.000  0.244  0.517 [4 per cell]
Pd  0.000  0.444  0.677 [4 per cell]
Pd  0.131  0.067  0.490 [8 per cell]
Pd  0.180  0.284  0.966 [8 per cell]



Which of them is least stable? Easy: arrangement x.